First-principles (PBE) data for Rb5CeS4 after structural relaxation, as listed in the Alexandria database.

The structure in CIF format:
```
data_Rb5CeS4
_cell_length_a 10.1514
_cell_length_b 10.1514
_cell_length_c 8.9093
_cell_angle_alpha 98.79
_cell_angle_beta 98.79
_cell_angle_gamma 25.75
_symmetry_space_group_name_H-M 'P 1'
_symmetry_Int_Tables_number 1
loop_
_symmetry_equiv_pos_as_xyz
'x,y,z'
loop_
_atom_site_label
_atom_site_fract_x
_atom_site_fract_y
_atom_site_fract_z
Rb1 0.0000 0.0000 0.0000
Rb2 0.3238 0.3238 0.6427
Rb3 0.3497 0.3497 0.1777
Rb4 0.6503 0.6503 0.8223
Rb5 0.6762 0.6762 0.3573
Ce1 0.0000 0.0000 0.5000
S1 0.1421 0.1421 0.5821
S2 0.4899 0.4899 0.7096
S3 0.5101 0.5101 0.2904
S4 0.8579 0.8579 0.4179
```

Space group ... No. 12
M_tot ... 0.09 μB/atom
Formation energy (no corrections) ... -11.943 eV per formula unit
Total DFT energy (no corrections) ... -0.144 Ha/atom
Mass density ... 2.9 g/cm³

First-principles (PBE) data for DyPa2N after structural relaxation, as listed in the Alexandria database.

The structure in CIF format:
```
data_DyPa2N
_cell_length_a 9.1784
_cell_length_b 9.1784
_cell_length_c 9.1784
_cell_angle_alpha 21.28
_cell_angle_beta 21.28
_cell_angle_gamma 21.28
_symmetry_space_group_name_H-M 'P 1'
_symmetry_Int_Tables_number 1
loop_
_symmetry_equiv_pos_as_xyz
'x,y,z'
loop_
_atom_site_label
_atom_site_fract_x
_atom_site_fract_y
_atom_site_fract_z
Dy1 0.0000 0.0000 0.0000
Pa1 0.2205 0.2205 0.2205
Pa2 0.7795 0.7795 0.7795
N1 0.5000 0.5000 0.5000
```

Space group ... No. 166
M_tot ... 0.00 μB/atom
Formation energy (no corrections) ... -2.253 eV per formula unit
Total DFT energy (no corrections) ... -0.314 Ha/atom
Mass density ... 11.9 g/cm³

First-principles (PBE) data for Nd4Mg5Ni2 after structural relaxation, as listed in the Alexandria database.

The structure in CIF format:
```
data_Nd4Mg5Ni2
_cell_length_a 8.0522
_cell_length_b 3.6589
_cell_length_c 9.7801
_cell_angle_alpha 90.00
_cell_angle_beta 93.44
_cell_angle_gamma 90.00
_symmetry_space_group_name_H-M 'P 1'
_symmetry_Int_Tables_number 1
loop_
_symmetry_equiv_pos_as_xyz
'x,y,z'
loop_
_atom_site_label
_atom_site_fract_x
_atom_site_fract_y
_atom_site_fract_z
Nd1 0.1628 0.0000 0.3432
Nd2 0.2136 0.0000 0.9489
Nd3 0.7864 0.0000 0.0511
Nd4 0.8372 0.0000 0.6568
Mg1 0.1827 0.5000 0.6514
Mg2 0.4518 0.5000 0.1793
Mg3 0.5000 0.5000 0.5000
Mg4 0.5482 0.5000 0.8207
Mg5 0.8173 0.5000 0.3486
Ni1 0.0614 0.5000 0.1318
Ni2 0.9386 0.5000 0.8682
```

Space group ... No. 10
DFT formation energy ... -0.149 eV/atom
M_tot ... 0.00 μB/atom
Total DFT energy (no corrections) ... -0.134 Ha/atom
Mass density ... 4.7 g/cm³

First-principles (PBE) data for AcNiBi after structural relaxation, as listed in the Alexandria database.

The structure in CIF format:
```
data_AcNiBi
_cell_length_a 6.5846
_cell_length_b 6.5846
_cell_length_c 6.5846
_cell_angle_alpha 148.17
_cell_angle_beta 148.17
_cell_angle_gamma 45.64
_symmetry_space_group_name_H-M 'P 1'
_symmetry_Int_Tables_number 1
loop_
_symmetry_equiv_pos_as_xyz
'x,y,z'
loop_
_atom_site_label
_atom_site_fract_x
_atom_site_fract_y
_atom_site_fract_z
Ac1 0.0000 0.0000 0.0000
Ni1 0.6533 0.6533 0.0000
Bi1 0.2771 0.2771 0.0000
```

Space group ... No. 107
DFT formation energy ... -0.167 eV/atom
M_tot ... 0.00 μB/atom
Total DFT energy (no corrections) ... -0.175 Ha/atom
Mass density ... 10.4 g/cm³

First-principles (PBE) data for BaTl2Re after structural relaxation, as listed in the Alexandria database.

The structure in CIF format:
```
data_BaTl2Re
_cell_length_a 8.0579
_cell_length_b 8.0579
_cell_length_c 8.0579
_cell_angle_alpha 156.55
_cell_angle_beta 146.38
_cell_angle_gamma 41.40
_symmetry_space_group_name_H-M 'P 1'
_symmetry_Int_Tables_number 1
loop_
_symmetry_equiv_pos_as_xyz
'x,y,z'
loop_
_atom_site_label
_atom_site_fract_x
_atom_site_fract_y
_atom_site_fract_z
Ba1 0.0000 0.0000 0.0000
Tl1 0.3130 0.8130 0.5000
Tl2 0.6485 0.6485 0.0000
Re1 0.8055 0.3055 0.5000
```

Space group ... No. 44
DFT formation energy ... 0.580 eV/atom
M_tot ... 0.00 μB/atom
Total DFT energy (no corrections) ... -0.154 Ha/atom
Mass density ... 10.6 g/cm³

First-principles (PBE) data for La5Y2Tm3 after structural relaxation, as listed in the Alexandria database.

The structure in CIF format:
```
data_La5Y2Tm3
_cell_length_a 9.1653
_cell_length_b 9.1653
_cell_length_c 10.2302
_cell_angle_alpha 108.26
_cell_angle_beta 108.26
_cell_angle_gamma 107.47
_symmetry_space_group_name_H-M 'P 1'
_symmetry_Int_Tables_number 1
loop_
_symmetry_equiv_pos_as_xyz
'x,y,z'
loop_
_atom_site_label
_atom_site_fract_x
_atom_site_fract_y
_atom_site_fract_z
La1 0.0189 0.9811 0.7500
La2 0.1195 0.3813 0.7522
La3 0.2290 0.7710 0.7500
La4 0.3813 0.1195 0.2522
La5 0.4777 0.5223 0.2500
La6 0.5223 0.4777 0.7500
La7 0.6187 0.8805 0.7478
La8 0.7710 0.2290 0.2500
La9 0.8805 0.6187 0.2478
La10 0.9811 0.0189 0.2500
Y1 0.0263 0.2870 0.0617
Y2 0.2870 0.0263 0.5617
Y3 0.7130 0.9737 0.4383
Y4 0.9737 0.7130 0.9383
Tm1 0.2211 0.4738 0.4399
Tm2 0.2694 0.7306 0.2500
Tm3 0.4738 0.2211 0.9399
Tm4 0.5262 0.7789 0.0601
Tm5 0.7306 0.2694 0.7500
Tm6 0.7789 0.5262 0.5601
```

Space group ... No. 15
DFT formation energy ... 0.161 eV/atom
M_tot ... 0.00 μB/atom
Total DFT energy (no corrections) ... -0.181 Ha/atom
Mass density ... 6.6 g/cm³

First-principles (PBE) data for Al3C after structural relaxation, as listed in the Alexandria database.

The structure in CIF format:
```
data_Al3C
_cell_length_a 2.9814
_cell_length_b 2.9814
_cell_length_c 7.2048
_cell_angle_alpha 90.00
_cell_angle_beta 90.00
_cell_angle_gamma 117.67
_symmetry_space_group_name_H-M 'P 1'
_symmetry_Int_Tables_number 1
loop_
_symmetry_equiv_pos_as_xyz
'x,y,z'
loop_
_atom_site_label
_atom_site_fract_x
_atom_site_fract_y
_atom_site_fract_z
Al1 0.0000 0.0000 0.0000
Al2 0.5000 0.5000 0.3235
Al3 0.5000 0.5000 0.6765
C1 0.0000 0.0000 0.5000
```

Space group ... No. 65
DFT formation energy ... 0.430 eV/atom
M_tot ... 0.00 μB/atom
Total DFT energy (no corrections) ... -0.172 Ha/atom
Mass density ... 2.7 g/cm³

First-principles (PBE) data for RbGe2CN after structural relaxation, as listed in the Alexandria database.

The structure in CIF format:
```
data_RbGe2CN
_cell_length_a 4.2182
_cell_length_b 4.2182
_cell_length_c 6.9472
_cell_angle_alpha 90.00
_cell_angle_beta 90.00
_cell_angle_gamma 90.00
_symmetry_space_group_name_H-M 'P 1'
_symmetry_Int_Tables_number 1
loop_
_symmetry_equiv_pos_as_xyz
'x,y,z'
loop_
_atom_site_label
_atom_site_fract_x
_atom_site_fract_y
_atom_site_fract_z
Rb1 0.0000 0.0000 0.0000
Ge1 0.0000 0.5000 0.5000
Ge2 0.5000 0.0000 0.5000
C1 0.5000 0.5000 0.5000
N1 0.5000 0.5000 0.0000
```

Space group ... No. 123
M_tot ... 0.42 μB/atom
Formation energy (no corrections) ... 7.864 eV per formula unit
Total DFT energy (no corrections) ... -0.146 Ha/atom
Mass density ... 3.4 g/cm³

First-principles (PBE) data for AcSnGe2 after structural relaxation, as listed in the Alexandria database.

The structure in CIF format:
```
data_AcSnGe2
_cell_length_a 4.8406
_cell_length_b 4.8406
_cell_length_c 4.4141
_cell_angle_alpha 90.00
_cell_angle_beta 90.00
_cell_angle_gamma 90.00
_symmetry_space_group_name_H-M 'P 1'
_symmetry_Int_Tables_number 1
loop_
_symmetry_equiv_pos_as_xyz
'x,y,z'
loop_
_atom_site_label
_atom_site_fract_x
_atom_site_fract_y
_atom_site_fract_z
Ac1 0.0000 0.0000 0.0000
Sn1 0.5000 0.5000 0.0000
Ge1 0.0000 0.5000 0.5000
Ge2 0.5000 0.0000 0.5000
```

Space group ... No. 123
DFT formation energy ... -0.380 eV/atom
M_tot ... 0.00 μB/atom
Total DFT energy (no corrections) ... -0.173 Ha/atom
Mass density ... 7.9 g/cm³

First-principles (PBE) data for FeTc2Cl after structural relaxation, as listed in the Alexandria database.

The structure in CIF format:
```
data_FeTc2Cl
_cell_length_a 5.0721
_cell_length_b 5.0721
_cell_length_c 2.8308
_cell_angle_alpha 103.62
_cell_angle_beta 103.62
_cell_angle_gamma 116.69
_symmetry_space_group_name_H-M 'P 1'
_symmetry_Int_Tables_number 1
loop_
_symmetry_equiv_pos_as_xyz
'x,y,z'
loop_
_atom_site_label
_atom_site_fract_x
_atom_site_fract_y
_atom_site_fract_z
Fe1 0.0000 0.0000 0.0000
Tc1 0.0000 0.5000 0.5000
Tc2 0.5000 0.0000 0.5000
Cl1 0.5000 0.5000 0.0000
```

Space group ... No. 12
M_tot ... 0.76 μB/atom
Formation energy (no corrections) ... 3.167 eV per formula unit
Total DFT energy (no corrections) ... -0.256 Ha/atom
Mass density ... 8.2 g/cm³

First-principles (PBE) data for BaIr2W after structural relaxation, as listed in the Alexandria database.

The structure in CIF format:
```
data_BaIr2W
_cell_length_a 6.4109
_cell_length_b 6.4109
_cell_length_c 6.4109
_cell_angle_alpha 107.51
_cell_angle_beta 107.51
_cell_angle_gamma 113.47
_symmetry_space_group_name_H-M 'P 1'
_symmetry_Int_Tables_number 1
loop_
_symmetry_equiv_pos_as_xyz
'x,y,z'
loop_
_atom_site_label
_atom_site_fract_x
_atom_site_fract_y
_atom_site_fract_z
Ba1 0.0000 0.0000 0.0000
Ba2 0.7500 0.2500 0.5000
Ir1 0.2105 0.1250 0.5855
Ir2 0.3750 0.7895 0.9145
Ir3 0.5395 0.6250 0.4145
Ir4 0.8750 0.4605 0.0855
W1 0.2500 0.7500 0.5000
W2 0.5000 0.5000 0.0000
```

Space group ... No. 122
DFT formation energy ... 0.581 eV/atom
M_tot ... 0.00 μB/atom
Total DFT energy (no corrections) ... -0.278 Ha/atom
Mass density ... 11.6 g/cm³

First-principles (PBE) data for Y6Tl5O after structural relaxation, as listed in the Alexandria database.

The structure in CIF format:
```
data_Y6Tl5O
_cell_length_a 7.1369
_cell_length_b 7.1369
_cell_length_c 6.7806
_cell_angle_alpha 98.06
_cell_angle_beta 98.06
_cell_angle_gamma 108.46
_symmetry_space_group_name_H-M 'P 1'
_symmetry_Int_Tables_number 1
loop_
_symmetry_equiv_pos_as_xyz
'x,y,z'
loop_
_atom_site_label
_atom_site_fract_x
_atom_site_fract_y
_atom_site_fract_z
Y1 0.0433 0.3346 0.6871
Y2 0.1775 0.1775 0.2046
Y3 0.3346 0.0433 0.6871
Y4 0.6654 0.9567 0.3129
Y5 0.8225 0.8225 0.7954
Y6 0.9567 0.6654 0.3129
Tl1 0.2313 0.7687 0.0000
Tl2 0.3706 0.6294 0.5000
Tl3 0.5000 0.5000 0.0000
Tl4 0.6294 0.3706 0.5000
Tl5 0.7687 0.2313 0.0000
O1 0.0000 0.0000 0.5000
```

Space group ... No. 12
M_tot ... 0.00 μB/atom
Formation energy (no corrections) ... -7.976 eV per formula unit
Total DFT energy (no corrections) ... -0.195 Ha/atom
Mass density ... 8.2 g/cm³